Compound: PmNd3
Source: the Alexandria database
Functional: SCAN
Structure: single point on PBEsol structure

## Properties
- Electronic total energy: -3.210 Ry per atom
- Energy above the lowest structure with this stoichiometry: 0.000 eV per atom
- Formation energy: 0.0101 eV/atom
- SG: I4/mmm, No. 139
- Crystal system: tetragonal

Unit cell a=5.0808 b=5.0808 c=6.2184 alpha=114.11 beta=114.11 gamma=90.00
Sites, in units of the cell vectors:
Pm: 0.0000 0.0000 0.0000
Nd: 0.2500 0.7500 0.5000
Nd: 0.7500 0.2500 0.5000
Nd: 0.5000 0.5000 0.0000